Here is crystalline ThFeI at its relaxed geometry from Alexandria via LeMat-Bulk. Energies are from GGA-PBE.

Its total energy is -6.466 eV/atom. The calculation puts the mass density at 7.74 g/cm³. Its energy relative to the elements, uncorrected is -0.66 eV per atom. As for the space group: C2/m, No. 12. As for the total magnetization: 0.86 μB per formula unit.

Cell lengths 4.036, 4.036, 12.815 Å; angles 90.10, 99.00, 119.86 degrees
Fractional positions:
Fe (0.667, 0.834, 0.501)
Th (0.900, 0.450, 0.349)
Fe (0.333, 0.166, 0.499)
Th (0.100, 0.550, 0.651)
I (0.558, 0.280, 0.838)
I (0.442, 0.720, 0.162)